[1]
Compound: CeScSb
Source: Alexandria via LeMat-Bulk
Functional: GGA-PBE
Structure: optimized geometry

Properties
Relative energy among the computed polymorphs in eV per atom: 0.002
Electronic total energy in eV/atom: -6.21

Cell: 4.396 4.396 8.450 Å, 90.00 90.00 90.00°
Space group P4/nmm (No. 129, origin choice 2)
One atom of each set of equivalent atoms:
Ce: 0.250 0.250 0.145
Sc: 0.250 0.750 0.500
Sb: 0.250 0.250 0.752

---

[2]
Compound: CeScSb
Source: Alexandria via LeMat-Bulk
Functional: GGA-PBE
Structure: optimized geometry

Properties
Relative energy among the computed polymorphs in eV per atom: 0.255
Electronic total energy in eV/atom: -5.96

Cell: 4.7557 4.7557 24.9251 Å, 90.00 90.00 120.00°
Space group R-3m (No. 166, hexagonal axes)
One atom of each set of equivalent atoms:
Ce: 0.0000 0.0000 0.1421
Sc: 0.0000 0.0000 0.2891
Sb: 0.0000 0.0000 0.4079

---

[3]
Compound: Ce4ScSb6
Source: Alexandria via LeMat-Bulk
Functional: GGA-PBE
Structure: optimized geometry

Properties
Electronic total energy in eV/atom: -5.89

Cell: 12.0512 12.0512 15.4051 Å, 90.00 90.00 120.00°
Space group R-3c (No. 167, hexagonal axes)
One atom of each set of equivalent atoms:
Ce: 0.0000 0.0000 0.2500
Ce: 0.0000 0.3854 0.2500
Sc: 0.0000 0.0000 0.0000
Sb: 0.0324 0.2085 0.3899

---

[4]
Compound: Ce2Sc3Sb2
Source: Alexandria via LeMat-Bulk
Functional: GGA-PBE
Structure: optimized geometry

Properties
Electronic total energy in eV/atom: -6.16

Cell: 11.790 4.168 8.365 Å, 90.00 112.99 90.00°
Space group C2/m (No. 12)
One atom of each set of equivalent atoms:
Ce: 0.133 0.000 0.298
Sc: 0.000 0.500 0.500
Sc: 0.118 0.500 0.945
Sb: 0.163 0.000 0.720

---

[5]
Compound: Ce2ScSb
Source: Alexandria via LeMat-Bulk
Functional: GGA-PBE
Structure: optimized geometry

Properties
Relative energy among the computed polymorphs in eV per atom: 0.000
Electronic total energy in eV/atom: -6.12

Cell: 4.420 4.420 5.055 Å, 90.00 90.00 90.00°
Space group P4/mmm (No. 123)
One atom of each set of equivalent atoms:
Ce: 0.000 0.500 0.000
Sc: 0.000 0.000 0.500
Sb: 0.500 0.500 0.500

---

[6]
Compound: Ce2ScSb
Source: Alexandria via LeMat-Bulk
Functional: GGA-PBE
Structure: optimized geometry

Properties
Relative energy among the computed polymorphs in eV per atom: 0.011
Electronic total energy in eV/atom: -6.11

Cell: 6.196 11.916 5.320 Å, 90.00 90.00 90.00°
Space group Cmcm (No. 63)
One atom of each set of equivalent atoms:
Ce: 0.233 0.060 0.250
Sc: 0.000 0.192 0.750
Sb: 0.000 0.320 0.250

---

[7]
Compound: CeSc5Sb6
Source: Alexandria via LeMat-Bulk
Functional: GGA-PBE
Structure: optimized geometry

Properties
Electronic total energy in eV/atom: -6.14

Cell: 7.306 12.670 7.321 Å, 90.00 109.59 90.00°
Space group C2/m (No. 12)
One atom of each set of equivalent atoms:
Ce: 0.000 0.000 0.000
Sc: 0.000 0.161 0.500
Sc: 0.000 0.332 0.000
Sc: 0.000 0.500 0.500
Sb: 0.239 0.500 0.253
Sb: 0.241 0.328 0.741

---

[8]
Compound: Ce5ScSb6
Source: Alexandria via LeMat-Bulk
Functional: GGA-PBE
Structure: optimized geometry

Properties
Electronic total energy in eV/atom: -6.07

Cell: 7.700 13.343 7.702 Å, 90.00 109.56 90.00°
Space group C2/m (No. 12)
One atom of each set of equivalent atoms:
Ce: 0.000 0.000 0.000
Ce: 0.000 0.165 0.500
Ce: 0.000 0.328 0.000
Sc: 0.000 0.500 0.500
Sb: 0.239 0.500 0.253
Sb: 0.241 0.339 0.741

---

Raw formation energy across the listed records, respectively: -0.75, -0.49, -0.91, -0.58, -0.54, -0.53, -0.94, -1.01 eV/atom.
Magnetic moment across the listed records, respectively: 1.42, 0.96, 1.76, 3.68, 0.36, 0.75, 0.53, 4.08 μB/f.u..
DOS at the Fermi energy across the listed records, respectively: 17.1, 31.0, 124.8, 34.6, 8.5, 34.1, 14.1, 66.8 states/eV per cell.